! PmNdGe2, optimized geometry, DFT PBE-GGA; values from VASP
&SYSTEM
  ibrav = 0, nat = 8, ntyp = 3
/
ATOMIC_SPECIES
Pm 145.00 Pm.upf
Nd 144.24 Nd.upf
Ge 72.64 Ge.upf
CELL_PARAMETERS angstrom
4.065 0.000 0.000
0.000 5.973 0.000
0.000 0.000 8.257
ATOMIC_POSITIONS angstrom
Pm 0.000 0.791 0.000
Pm 0.000 5.182 4.129
Nd 2.032 2.195 2.992
Nd 2.032 3.778 7.120
Ge 0.000 2.314 5.307
Ge 0.000 3.659 1.179
Ge 2.032 0.663 5.945
Ge 2.032 5.310 1.817
! ΔE_f: -0.85 eV per atom
! space group: Pmc2_1